First-principles (GGA-PBE) data for a geometry-optimized ZrBeNb structure, as listed in the Alexandria database. Values from VASP.

Quantum ESPRESSO input file:
```
&SYSTEM
  ibrav = 0, nat = 9, ntyp = 3
/
ATOMIC_SPECIES
Zr 91.22 Zr.upf
Be 9.01 Be.upf
Nb 92.91 Nb.upf
ATOMIC_POSITIONS crystal
Zr 0.001 0.352 0.647
Zr 0.352 0.647 0.001
Zr 0.647 0.001 0.352
Be 0.089 0.089 0.089
Be 0.442 0.442 0.442
Be 0.564 0.564 0.564
Nb 0.098 0.884 0.540
Nb 0.540 0.098 0.884
Nb 0.884 0.540 0.098
CELL_PARAMETERS angstrom
2.865 1.654 5.604
-2.865 1.654 5.604
0.000 -3.308 5.604
```

Properties
D(E_F) (states/eV per cell): 9.88
ΔH_f (0 K) (eV/atom): 0.30
Space-group type: R3, No. 146

=====

First-principles (GGA-PBE) data for a geometry-optimized TiTlPb2 structure, as listed in the Alexandria database. Values from VASP.

Quantum ESPRESSO input file:
```
&SYSTEM
  ibrav = 0, nat = 4, ntyp = 3
/
ATOMIC_SPECIES
Ti 47.87 Ti.upf
Tl 204.38 Tl.upf
Pb 207.20 Pb.upf
ATOMIC_POSITIONS crystal
Ti 0.000 0.000 0.000
Tl 0.500 0.500 0.500
Pb 0.080 0.080 0.080
Pb 0.920 0.920 0.920
CELL_PARAMETERS angstrom
1.661 0.959 11.910
-1.661 0.959 11.910
0.000 -1.917 11.910
```

Properties
D(E_F) (states/eV per cell): 3.16
ΔH_f (0 K) (eV/atom): 0.40
Space-group type: R-3m, No. 166

=====

First-principles (GGA-PBE) data for a geometry-optimized KLa2 structure, as listed in the Alexandria database. Values from VASP.

Quantum ESPRESSO input file:
```
&SYSTEM
  ibrav = 0, nat = 6, ntyp = 2
/
ATOMIC_SPECIES
K 39.10 K.upf
La 138.91 La.upf
ATOMIC_POSITIONS crystal
K 0.250 0.250 0.000
K 0.750 0.750 0.000
La 0.128 0.628 0.755
La 0.372 0.128 0.500
La 0.628 0.872 0.500
La 0.872 0.372 0.245
CELL_PARAMETERS angstrom
-4.391 4.391 3.273
4.391 -4.391 3.273
4.391 4.391 -3.273
```

Properties
D(E_F) (states/eV per cell): 8.35
ΔH_f (0 K) (eV/atom): 0.53
Space-group type: I4/mcm, No. 140

=====

First-principles (GGA-PBE) data for a geometry-optimized MgAsF6 structure, as listed in the Alexandria database. Values from VASP.

Quantum ESPRESSO input file:
```
&SYSTEM
  ibrav = 0, nat = 8, ntyp = 3
/
ATOMIC_SPECIES
Mg 24.30 Mg.upf
As 74.92 As.upf
F 19.00 F.upf
ATOMIC_POSITIONS crystal
Mg 0.000 0.000 0.000
As 0.500 0.500 0.500
F 0.125 0.409 0.260
F 0.251 0.251 0.741
F 0.409 0.125 0.260
F 0.591 0.875 0.740
F 0.749 0.749 0.259
F 0.875 0.591 0.740
CELL_PARAMETERS angstrom
2.494 -4.435 0.000
2.494 4.435 0.000
-1.165 0.000 4.840
```

Properties
D(E_F) (states/eV per cell): 2.96
Energy relative to the elements, uncorrected (eV per atom): -2.46
Space-group type: C2/m, No. 12

=====

First-principles (GGA-PBE) data for a geometry-optimized MoPIr2 structure, as listed in the Alexandria database. Values from VASP.

Quantum ESPRESSO input file:
```
&SYSTEM
  ibrav = 0, nat = 4, ntyp = 3
/
ATOMIC_SPECIES
Mo 95.94 Mo.upf
P 30.97 P.upf
Ir 192.22 Ir.upf
ATOMIC_POSITIONS crystal
Mo 0.000 0.000 0.000
P 0.197 0.197 0.359
Ir 0.433 0.433 0.498
Ir 0.713 0.713 0.776
CELL_PARAMETERS angstrom
4.705 -1.420 0.000
4.705 1.420 0.000
-0.214 0.000 4.532
```

Properties
D(E_F) (states/eV per cell): 3.56
ΔH_f (0 K) (eV/atom): -0.08
Space-group type: Cm, No. 8

=====

First-principles (GGA-PBE) data for a geometry-optimized LiHoGa2Cu2 structure, as listed in the Alexandria database. Values from VASP.

Quantum ESPRESSO input file:
```
&SYSTEM
  ibrav = 0, nat = 6, ntyp = 4
/
ATOMIC_SPECIES
Li 6.94 Li.upf
Ho 164.93 Ho.upf
Ga 69.72 Ga.upf
Cu 63.55 Cu.upf
ATOMIC_POSITIONS crystal
Li 0.000 0.000 0.000
Ho 0.000 0.000 0.500
Ga 0.333 0.667 0.795
Ga 0.667 0.333 0.205
Cu 0.333 0.667 0.211
Cu 0.667 0.333 0.789
CELL_PARAMETERS angstrom
4.271 0.000 0.000
-2.135 3.699 0.000
0.000 0.000 6.349
```

Properties
D(E_F) (states/eV per cell): 2.56
ΔH_f (0 K) (eV/atom): -0.38
Space-group type: P-3m1, No. 164